# 1
12
Lattice="-3.5663 -2.9982 -0.3985 1.7034 -2.4688 -3.8080 3.8151 -5.4291 4.2975" Properties=species:S:1:pos:R:3 comment="KLiZn2F8 (PBE, optimized geometry)" raw_formation_energy_ev_per_atom=-2.074 magnetic_moment_mub_per_fu=1.94 final_energy_ev_per_atom=-3.7853 spacegroup=P-1 pbc="T T T"
K 1.9075 -2.7146 2.1487
Li 0.0000 0.0000 0.0000
Zn 2.2002 -7.1900 1.2689
Zn -0.2479 -3.7061 -1.1779
F 1.4072 -3.5796 -2.0489
F -1.1160 -3.7973 -2.9088
F -1.9057 -4.0928 -0.3755
F 0.5450 -7.3166 2.1399
F 3.0682 -7.0988 2.9997
F 3.8579 -6.8034 0.4665
F 1.3899 -6.7315 -0.3460
F 0.5624 -4.1646 0.4370

# 2
20
Lattice="-2.8291 -5.0145 4.1606 -0.7681 -1.8639 -6.8114 6.9082 0.7003 1.4987" Properties=species:S:1:pos:R:3 comment="K4LiZn3F12 (PBE, optimized geometry)" raw_formation_energy_ev_per_atom=-2.522 magnetic_moment_mub_per_fu=0.79 final_energy_ev_per_atom=-4.1509 spacegroup=Im-3m pbc="T T T"
K 1.6555 -3.0891 -0.5761
K 3.4541 0.3501 0.7494
K -1.4145 -2.5073 2.0803
K -0.3840 -0.9320 -3.4057
Li 0.0000 0.0000 0.0000
Zn 2.0395 -2.1571 2.8297
Zn -1.7986 -3.4392 -1.3254
Zn 3.0700 -0.5818 -2.6563
F 4.0898 -1.6604 -1.2415
F 3.0211 -3.1953 4.1915
F 1.0580 -1.1190 1.4678
F -0.7788 -4.5178 0.0894
F -2.6642 -5.0944 -1.9633
F -0.9330 -1.7840 -0.6875
F 1.1403 -3.8767 2.1669
F 2.1708 -2.3014 -3.3191
F 3.5746 -2.4480 1.5015
F 4.5476 -0.8618 -3.9348
F -0.2636 -3.7301 -2.6536
F 1.5925 -0.3018 -1.3779

# 3
20
Lattice="6.3746 -0.0714 -0.0741 1.9363 7.2868 -0.9799 1.9363 -1.2492 7.2455" Properties=species:S:1:pos:R:3 comment="KLiZn2F6 (PBE, optimized geometry)" raw_formation_energy_ev_per_atom=-2.524 magnetic_moment_mub_per_fu=0.00 final_energy_ev_per_atom=-4.2029 spacegroup=C2/c pbc="T T T"
K 3.5300 6.3768 -0.1386
K 6.7173 -0.4106 6.3302
Li 3.5300 0.3672 5.6522
Li 6.7173 5.5990 0.5394
Zn 4.6625 4.5733 3.2617
Zn 2.3975 2.9120 1.5376
Zn 5.5848 1.3930 2.9299
Zn 7.8498 3.0543 4.6540
F 4.6526 5.9095 4.6664
F 2.4073 1.5578 0.1502
F 5.5946 0.0567 1.5252
F 7.8400 4.4084 6.0414
F 5.2283 5.4661 1.6776
F 1.8317 4.5281 0.7041
F 5.0190 0.5001 4.5140
F 8.4156 1.4382 5.4875
F 2.6772 4.1054 3.4348
F 4.3828 2.7216 1.9987
F 7.5701 1.8608 2.7568
F 5.8645 3.2446 4.1929